Entry 1:
Crystalline La6CeDy2Tm at its relaxed geometry, computed with PBE.

Computed properties:
**E_tot**: -4.6931 eV/atom
**Formation enthalpy at 0 K**: 0.22 eV/atom
**V**: 709.6 Å³/cell

a = 12.1357 Å, b = 6.9186 Å, c = 9.0208 Å
α = 90.00°, β = 110.46°, γ = 90.00°
Last column: nearest neighbours and their distance in Å.
Space group C2/m (No. 12)
Unique sites:
La 0.1448 0.2413 0.3039 (multiplicity 8)  1 Tm 3.23, 3 La 3.34-3.58, 1 Ce 3.34, 2 Dy 3.46-3.53
La 0.1660 0.0000 0.9205 (multiplicity 4)  1 Ce 3.62, 3 Dy 3.72-4.01, 1 Tm 3.86, 8 La 3.93-4.02
Ce 0.0000 0.0000 0.5000 (multiplicity 2)  6 La 3.34-3.62
Dy 0.1014 0.5000 0.6809 (multiplicity 4)  1 Dy 3.33, 5 La 3.46-3.72, 1 Tm 3.50
Tm 0.0000 0.5000 0.0000 (multiplicity 2)  4 La 3.23, 2 Dy 3.50



Entry 2:
Crystalline LaCe2Dy6Tm3 at its relaxed geometry, computed with PBE.

Computed properties:
**E_tot**: -4.7653 eV/atom
**Formation enthalpy at 0 K**: 0.05 eV/atom
**V**: 751.0 Å³/cell

a = 6.1254 Å, b = 10.6105 Å, c = 11.7350 Å
α = 90.00°, β = 100.03°, γ = 90.00°
Last column: nearest neighbours and their distance in Å.
Space group C2/m (No. 12)
Unique sites:
La 0.0000 0.0000 0.0000 (multiplicity 2)  6 Ce 3.54, 6 Dy 3.57
Ce 0.0000 0.3333 0.0000 (multiplicity 4)  3 Ce 3.54, 3 La 3.54, 6 Dy 3.55-3.56
Dy 0.2466 0.3317 0.7476 (multiplicity 8)  3 Tm 3.50-3.52, 6 Dy 3.52-3.57, 2 Ce 3.55-3.56, 1 La 3.57
Dy 0.2484 0.5000 0.2524 (multiplicity 4)  3 Tm 3.51-3.52, 6 Dy 3.52-3.57, 2 Ce 3.56, 1 La 3.57
Tm 0.0000 0.1666 0.5000 (multiplicity 4)  6 Dy 3.50-3.52, 6 Tm 3.53-3.54
Tm 0.0000 0.5000 0.5000 (multiplicity 2)  6 Dy 3.51-3.52, 6 Tm 3.54



Entry 3:
Crystalline La2CeDy3Y6 at its relaxed geometry, computed with PBE.

Computed properties:
**E_tot**: -5.6576 eV/atom
**Formation enthalpy at 0 K**: 0.04 eV/atom
**V**: 785.7 Å³/cell

a = 6.2311 Å, b = 10.7958 Å, c = 11.8626 Å
α = 90.00°, β = 100.09°, γ = 90.00°
Last column: nearest neighbours and their distance in Å.
Space group C2/m (No. 12)
Unique sites:
La 0.0000 0.1664 0.0000 (multiplicity 4)  3 La 3.59-3.60, 3 Ce 3.60, 6 Y 3.62
Ce 0.0000 0.5000 0.0000 (multiplicity 2)  6 La 3.60, 6 Y 3.60-3.61
Dy 0.0000 0.0000 0.5000 (multiplicity 2)  6 Y 3.55-3.56, 6 Dy 3.60
Dy 0.0000 0.3331 0.5000 (multiplicity 4)  6 Y 3.55-3.56, 6 Dy 3.60
Y 0.2462 0.5000 0.7467 (multiplicity 4)  3 Dy 3.55-3.56, 6 Y 3.57-3.61, 1 Ce 3.61, 2 La 3.62
Y 0.2494 0.3347 0.2529 (multiplicity 8)  3 Dy 3.55-3.56, 6 Y 3.57-3.61, 1 Ce 3.60, 2 La 3.62



Entry 4:
Crystalline LaCe2Dy6Y3 at its relaxed geometry, computed with PBE.

Computed properties:
**E_tot**: -5.2649 eV/atom
**Formation enthalpy at 0 K**: 0.05 eV/atom
**V**: 765.2 Å³/cell

a = 6.1660 Å, b = 10.6840 Å, c = 11.7962 Å
α = 90.00°, β = 100.05°, γ = 90.00°
Last column: nearest neighbours and their distance in Å.
Space group C2/m (No. 12)
Unique sites:
La 0.0000 0.0000 0.0000 (multiplicity 2)  6 Ce 3.56, 6 Dy 3.57
Ce 0.0000 0.3332 0.0000 (multiplicity 4)  6 Dy 3.55, 3 Ce 3.56, 3 La 3.56
Dy 0.2469 0.5000 0.2498 (multiplicity 4)  6 Dy 3.54-3.60, 3 Y 3.55-3.56, 2 Ce 3.55, 1 La 3.57
Dy 0.2478 0.3316 0.7502 (multiplicity 8)  6 Dy 3.54-3.60, 3 Y 3.55-3.57, 2 Ce 3.55, 1 La 3.57
Y 0.0000 0.1666 0.5000 (multiplicity 4)  6 Dy 3.55-3.57, 6 Y 3.56
Y 0.0000 0.5000 0.5000 (multiplicity 2)  6 Dy 3.55-3.56, 6 Y 3.56



Entry 5:
Crystalline LaCeDyZn at its relaxed geometry, computed with PBE.

Computed properties:
**E_tot**: -4.0820 eV/atom
**Formation enthalpy at 0 K**: 0.10 eV/atom
**V**: 428.9 Å³/cell

a = 7.5412 Å, b = 7.5412 Å, c = 7.5412 Å
α = 90.00°, β = 90.00°, γ = 90.00°
Last column: nearest neighbours and their distance in Å.
Space group F-43m (No. 216)
Unique sites:
La 0.0000 0.0000 0.0000 (multiplicity 4)  4 Zn 3.27, 4 Ce 3.27
Ce 0.2500 0.2500 0.2500 (multiplicity 4)  4 La 3.27, 4 Dy 3.27
Dy 0.0000 0.0000 0.5000 (multiplicity 4)  4 Ce 3.27, 4 Zn 3.27
Zn 0.2500 0.2500 0.7500 (multiplicity 4)  4 Dy 3.27, 4 La 3.27



Entry 6:
Crystalline LiCeDy at its relaxed geometry, computed with PBE.

Computed properties:
**E_tot**: -3.9741 eV/atom
**Formation enthalpy at 0 K**: 0.18 eV/atom
**V**: 165.3 Å³/cell
**Relative energy among the computed polymorphs**: 0.098 eV per atom

a = 3.4020 Å, b = 3.4020 Å, c = 14.2845 Å
α = 90.00°, β = 90.00°, γ = 90.00°
Last column: nearest neighbours and their distance in Å.
Space group I4mm (No. 107)
Unique sites:
Li 0.0000 0.0000 0.0000 (multiplicity 2)  4 Dy 3.32, 4 Ce 3.36, 4 Li 3.40
Ce 0.0000 0.0000 0.3356 (multiplicity 2)  4 Li 3.36, 4 Ce 3.40, 4 Dy 3.47
Dy 0.0000 0.0000 0.6604 (multiplicity 2)  4 Li 3.32, 4 Dy 3.40, 4 Ce 3.47